No. 1
An optimized crystal structure of CaPm6Dy6, computed with GGA-PBE.

Summary:
Crystal system: hexagonal
Energy of formation from the pure elements in eV per atom: 0.26

Cell and atoms, written as POSCAR:
```
CaPm6Dy6
1.0
6.787 0.000 0.000
-3.393 5.878 0.000
0.000 0.000 11.418
Ca Pm Dy
1 6 6
direct
0.000 0.000 0.000
0.000 0.000 0.348
0.000 0.000 0.652
0.333 0.667 0.000
0.333 0.667 0.500
0.667 0.333 0.000
0.667 0.333 0.500
0.000 0.500 0.249
0.000 0.500 0.751
0.500 0.000 0.249
0.500 0.000 0.751
0.500 0.500 0.249
0.500 0.500 0.751
```

---

No. 2
An optimized crystal structure of BaTeBr2, computed with GGA-PBE.

Summary:
Crystal system: orthorhombic
E_form (uncorrected) in eV/atom: -1.19
Distance to the lowest polymorph of the same formula in meV per atom: 149

Cell and atoms, written as POSCAR:
```
BaTeBr2
1.0
4.384 0.000 0.000
0.000 4.838 0.000
0.000 0.000 6.261
Ba Te Br
1 1 2
direct
0.000 0.000 0.000
0.500 0.000 0.500
0.000 0.500 0.500
0.500 0.500 0.000
```

---

No. 3
An optimized crystal structure of CrCd3S, computed with GGA-PBE.

Summary:
Crystal system: cubic
E_form (uncorrected) in eV/atom: 0.80
Distance to the lowest polymorph of the same formula in meV per atom: 93

Cell and atoms, written as POSCAR:
```
CrCd3S
1.0
5.265 0.000 0.000
0.000 5.265 0.000
0.000 0.000 5.265
Cr Cd S
1 3 1
direct
0.000 0.000 0.000
0.000 0.000 0.500
0.000 0.500 0.000
0.500 0.000 0.000
0.500 0.500 0.500
```

---

No. 4
An optimized crystal structure of ZnFe2Au, computed with GGA-PBE.

Summary:
Crystal system: tetragonal
Energy of formation from the pure elements in eV per atom: 0.06

Cell and atoms, written as POSCAR:
```
ZnFe2Au
1.0
-1.867 1.867 4.009
1.867 -1.867 4.009
1.867 1.867 -4.009
Zn Fe Au
1 2 1
direct
0.000 0.000 0.000
0.250 0.750 0.500
0.750 0.250 0.500
0.500 0.500 0.000
```

---

No. 5
An optimized crystal structure of AcDy4S6, computed with GGA-PBE.

Summary:
Crystal system: orthorhombic
E_form (uncorrected) in eV/atom: -2.07

Cell and atoms, written as POSCAR:
```
AcDy4S6
1.0
1.978 -6.451 0.000
1.978 6.451 0.000
0.000 0.000 20.022
Ac Dy S
2 8 12
direct
0.158 0.842 0.750
0.842 0.158 0.250
0.095 0.905 0.124
0.095 0.905 0.376
0.361 0.639 0.039
0.361 0.639 0.461
0.639 0.361 0.539
0.639 0.361 0.961
0.905 0.095 0.624
0.905 0.095 0.876
0.000 0.000 0.000
0.000 0.000 0.500
0.173 0.827 0.250
0.266 0.734 0.589
0.266 0.734 0.911
0.457 0.543 0.162
0.457 0.543 0.338
0.543 0.457 0.662
0.543 0.457 0.838
0.734 0.266 0.089
0.734 0.266 0.411
0.827 0.173 0.750
```

---

No. 6
An optimized crystal structure of Ca4Y, computed with GGA-PBE.

Summary:
Crystal system: cubic
Distance to the lowest polymorph of the same formula in meV per atom: 0
Energy of formation from the pure elements in eV per atom: 0.57

Cell and atoms, written as POSCAR:
```
Ca4Y
1.0
-3.958 3.958 3.958
3.958 -3.958 3.958
3.958 3.958 -3.958
Ca Y
4 1
direct
0.000 0.000 0.500
0.000 0.500 0.000
0.500 0.000 0.000
0.500 0.500 0.500
0.000 0.000 0.000
```

---

No. 7
An optimized crystal structure of Th3TaGe5, computed with GGA-PBE.

Summary:
Crystal system: hexagonal
Energy of formation from the pure elements in eV per atom: -0.67

Cell and atoms, written as POSCAR:
```
Th3TaGe5
1.0
8.910 0.000 0.000
-4.455 7.717 0.000
0.000 0.000 5.897
Th Ta Ge
6 2 10
direct
0.000 0.382 0.250
0.000 0.618 0.750
0.382 0.000 0.250
0.382 0.382 0.750
0.618 0.000 0.750
0.618 0.618 0.250
0.000 0.000 0.000
0.000 0.000 0.500
0.000 0.257 0.750
0.000 0.743 0.250
0.257 0.000 0.750
0.257 0.257 0.250
0.333 0.667 0.000
0.333 0.667 0.500
0.667 0.333 0.000
0.667 0.333 0.500
0.743 0.000 0.250
0.743 0.743 0.750
```

---

No. 8
An optimized crystal structure of Pu4BiTe5, computed with GGA-PBE.

Summary:
Crystal system: monoclinic
E_form (uncorrected) in eV/atom: -0.69

Cell and atoms, written as POSCAR:
```
Pu4BiTe5
1.0
8.161 -2.253 0.000
8.161 2.253 0.000
-0.308 0.000 9.392
Pu Bi Te
4 1 5
direct
0.049 0.049 0.241
0.148 0.148 0.599
0.852 0.852 0.401
0.951 0.951 0.759
0.500 0.500 0.000
0.128 0.128 0.928
0.233 0.233 0.312
0.500 0.500 0.500
0.767 0.767 0.688
0.872 0.872 0.072
```

---

No. 9
An optimized crystal structure of CsRb2PbF5, computed with GGA-PBE.

Summary:
Crystal system: orthorhombic
E_form (uncorrected) in eV/atom: -2.57

Cell and atoms, written as POSCAR:
```
CsRb2PbF5
1.0
-2.391 3.425 6.837
2.391 -3.425 6.837
2.391 3.425 -6.837
Cs Rb Pb F
1 2 1 5
direct
0.000 0.000 0.000
0.285 0.785 0.500
0.715 0.215 0.500
0.500 0.500 0.000
0.124 0.367 0.757
0.389 0.633 0.757
0.500 0.000 0.500
0.611 0.367 0.243
0.876 0.633 0.243
```

---

No. 10
An optimized crystal structure of CdAs, computed with GGA-PBE.

Summary:
Crystal system: orthorhombic
Distance to the lowest polymorph of the same formula in meV per atom: 147
Energy of formation from the pure elements in eV per atom: 0.07

Cell and atoms, written as POSCAR:
```
CdAs
1.0
4.602 0.000 0.000
0.000 11.322 0.000
0.000 0.000 7.446
Cd As
6 6
direct
0.250 0.090 0.152
0.250 0.410 0.152
0.250 0.750 0.279
0.750 0.250 0.721
0.750 0.590 0.848
0.750 0.910 0.848
0.250 0.250 0.909
0.250 0.535 0.442
0.250 0.965 0.442
0.750 0.035 0.558
0.750 0.465 0.558
0.750 0.750 0.091
```

---

No. 11
An optimized crystal structure of DyThBeZn, computed with GGA-PBE.

Summary:
Crystal system: cubic
Energy of formation from the pure elements in eV per atom: -0.02

Cell and atoms, written as POSCAR:
```
DyThBeZn
1.0
0.000 3.549 3.549
3.549 0.000 3.549
3.549 3.549 0.000
Dy Th Be Zn
1 1 1 1
direct
0.000 0.000 0.000
0.500 0.500 0.500
0.250 0.250 0.250
0.750 0.750 0.750
```

---

No. 12
An optimized crystal structure of Ba2Mg17, computed with GGA-PBE.

Summary:
Crystal system: trigonal
Energy of formation from the pure elements in eV per atom: -0.07

Cell and atoms, written as POSCAR:
```
Ba2Mg17
1.0
5.324 3.074 5.186
-5.324 3.074 5.186
0.000 -6.148 5.186
Ba Mg
2 17
direct
0.162 0.162 0.162
0.838 0.838 0.838
0.000 0.500 0.500
0.152 0.152 0.652
0.152 0.652 0.152
0.209 0.500 0.791
0.209 0.791 0.500
0.348 0.848 0.848
0.402 0.402 0.402
0.500 0.000 0.500
0.500 0.209 0.791
0.500 0.500 0.000
0.500 0.791 0.209
0.598 0.598 0.598
0.652 0.152 0.152
0.791 0.209 0.500
0.791 0.500 0.209
0.848 0.348 0.848
0.848 0.848 0.348
```

---

no.,total magnetization (μB per atom),density of states at the Fermi level (states/eV/atom)
1,0.00,2.020
2,0.00,0.438
3,0.79,0.661
4,1.29,0.993
5,0.00,0.277
6,0.25,1.656
7,0.00,0.431
8,2.30,3.844
9,0.00,0.000
10,0.00,0.125
11,0.00,1.263
12,0.00,0.479